First-principles (PBE) data for an optimized crystal structure of Nb2FeSe4, as listed in the Alexandria database.

a = 7.2389 Å, b = 7.2389 Å, c = 12.6354 Å
α = 90.00°, β = 90.00°, γ = 120.00°
With the nearest neighbours (Å) after each atom.
Fractional coordinates of all 28 atoms:
Nb 0.0000 0.0000 0.2500  6 Se 2.64
Nb 0.0000 0.0000 0.7500  6 Se 2.64
Nb 0.0517 0.5258 0.2500  1 Fe 2.41, 2 Se 2.58
Nb 0.4742 0.5258 0.2500  1 Fe 2.41, 2 Se 2.58
Nb 0.4742 0.9483 0.2500  1 Fe 2.41, 2 Se 2.58
Nb 0.5258 0.0517 0.7500  1 Fe 2.41, 2 Se 2.58
Nb 0.5258 0.4742 0.7500  1 Fe 2.41, 2 Se 2.58
Nb 0.9483 0.4742 0.7500  1 Fe 2.41, 2 Se 2.58
Fe 0.0000 0.0000 0.0000  6 Se 2.60
Fe 0.0000 0.0000 0.5000  6 Se 2.60
Fe 0.3333 0.6667 0.7500  3 Nb 2.41, 6 Se 2.64
Fe 0.6667 0.3333 0.2500  3 Nb 2.41, 6 Se 2.64
Se 0.1668 0.3336 0.6228  2 Fe 2.60-2.64, 3 Nb 2.64-2.78
Se 0.1668 0.3336 0.8772  2 Fe 2.60-2.64, 3 Nb 2.64-2.78
Se 0.1668 0.8332 0.6228  2 Fe 2.60-2.64, 3 Nb 2.64-2.78
Se 0.1668 0.8332 0.8772  2 Fe 2.60-2.64, 3 Nb 2.64-2.78
Se 0.3333 0.6667 0.1012  3 Nb 2.58
Se 0.3333 0.6667 0.3988  3 Nb 2.58
Se 0.3336 0.1668 0.1228  2 Fe 2.60-2.64, 3 Nb 2.64-2.78
Se 0.3336 0.1668 0.3772  2 Fe 2.60-2.64, 3 Nb 2.64-2.78
Se 0.6664 0.8332 0.6228  2 Fe 2.60-2.64, 3 Nb 2.64-2.78
Se 0.6664 0.8332 0.8772  2 Fe 2.60-2.64, 3 Nb 2.64-2.78
Se 0.6667 0.3333 0.6012  3 Nb 2.58
Se 0.6667 0.3333 0.8988  3 Nb 2.58
Se 0.8332 0.1668 0.1228  2 Fe 2.60-2.64, 3 Nb 2.64-2.78
Se 0.8332 0.1668 0.3772  2 Fe 2.60-2.64, 3 Nb 2.64-2.78
Se 0.8332 0.6664 0.1228  2 Fe 2.60-2.64, 3 Nb 2.64-2.78
Se 0.8332 0.6664 0.3772  2 Fe 2.60-2.64, 3 Nb 2.64-2.78

N(E_F)   0.636 states/eV/atom
Uncorrected formation energy   -0.579 eV/atom